AcTeRh2: relaxed, PBE.

Properties
distance to the lowest polymorph of the same formula: 5.846 kcal/mol of atoms
total DFT energy (no corrections): -5.9128 eV per atom
E_form (uncorrected): -0.4246 eV/atom
symmetry: P4/mmm, No. 123

Cell and atoms, written as CIF:
```
data_AcTeRh2
_cell_length_a 4.744
_cell_length_b 4.744
_cell_length_c 3.891
_cell_angle_alpha 90.00
_cell_angle_beta 90.00
_cell_angle_gamma 90.00
_space_group_name_H-M_alt 'P 1'
_space_group_IT_number 1
_space_group_name_Hall 'P 1'
loop_
_atom_site_label
_atom_site_type_symbol
_atom_site_fract_x
_atom_site_fract_y
_atom_site_fract_z
_atom_site_occupancy
Ac1 Ac 0.000 0.000 0.000 1
Te1 Te 0.500 0.500 0.000 1
Rh1 Rh 0.000 0.500 0.500 1
Rh2 Rh 0.500 0.000 0.500 1
```